# 1
## K2TlInGa (PBE)

Data for K2TlInGa after structural relaxation.

Fermi-level density of states   4.18 states/eV per cell
VASP energy   -1.799 eV/atom
Energy relative to the elements   0.267 eV/atom
Volume   45.9 Å³/atom

Cell: 6.6585 6.6585 5.1791 Å, 90.00 90.00 90.00°
Atoms (fractional coordinates):
1 K 0.0000 0.5000 0.0000
2 K 0.5000 0.0000 0.0000
3 Tl 0.0000 0.0000 0.0000
4 In 0.5000 0.5000 0.5000
5 Ga 0.0000 0.0000 0.5000

---

# 2
## Tb2ErZrP4 (PBE)

Data for Tb2ErZrP4 after structural relaxation.

Fermi-level density of states   1.54 states/eV per cell
VASP energy   -7.055 eV/atom
Energy relative to the elements   -1.554 eV/atom
Volume   21.5 Å³/atom

Cell: 6.8067 3.9265 6.8118 Å, 90.00 109.29 90.00°
Atoms (fractional coordinates):
1 Tb 0.0000 0.0000 0.0000
2 Tb 0.5000 0.5000 0.0000
3 Er 0.0000 0.5000 0.5000
4 Zr 0.5000 0.0000 0.5000
5 P 0.2537 0.0000 0.7412
6 P 0.2601 0.5000 0.2626
7 P 0.7399 0.5000 0.7374
8 P 0.7463 0.0000 0.2588

---

# 3
## NaLi2PO4 (PBE)

Data for NaLi2PO4 after structural relaxation.

Energy relative to the elements, uncorrected   -2336 meV per atom
Fermi-level density of states   0.00 states/eV per cell
VASP energy   -6.135 eV/atom
Volume   11.0 Å³/atom

Cell: 10.2105 6.8933 5.0114 Å, 90.00 90.00 90.00°
Atoms (fractional coordinates):
1 Na 0.1034 0.2500 0.2442
2 Na 0.3966 0.7500 0.7442
3 Na 0.6034 0.2500 0.2558
4 Na 0.8966 0.7500 0.7558
5 Li 0.1579 0.0002 0.7112
6 Li 0.1579 0.4998 0.7112
7 Li 0.3421 0.9998 0.2112
8 Li 0.3421 0.5002 0.2112
9 Li 0.6579 0.0002 0.7888
10 Li 0.6579 0.4998 0.7888
11 Li 0.8421 0.9998 0.2888
12 Li 0.8421 0.5002 0.2888
13 P 0.0974 0.7500 0.2040
14 P 0.4026 0.2500 0.7040
15 P 0.5974 0.7500 0.2960
16 P 0.9026 0.2500 0.7960
17 O 0.0538 0.2500 0.7430
18 O 0.1199 0.7500 0.8951
19 O 0.1607 0.5651 0.3263
20 O 0.1607 0.9349 0.3263
21 O 0.3393 0.0651 0.8263
22 O 0.3393 0.4349 0.8263
23 O 0.3801 0.2500 0.3951
24 O 0.4462 0.7500 0.2430
25 O 0.5538 0.2500 0.7570
26 O 0.6199 0.7500 0.6049
27 O 0.6607 0.5651 0.1737
28 O 0.6607 0.9349 0.1737
29 O 0.8393 0.0651 0.6737
30 O 0.8393 0.4349 0.6737
31 O 0.8801 0.2500 0.1049
32 O 0.9462 0.7500 0.2570

---

# 4
## AlZnTe2 (PBE)

Data for AlZnTe2 after structural relaxation.

Energy relative to the elements, uncorrected   35 meV per atom
Fermi-level density of states   1.60 states/eV per cell
VASP energy   -2.790 eV/atom
Volume   31.5 Å³/atom

Cell: 8.6530 8.6530 8.6530 Å, 153.81 153.81 37.37°
Atoms (fractional coordinates):
1 Al 0.0000 0.0000 0.0000
2 Zn 0.7500 0.2500 0.5000
3 Te 0.2500 0.7500 0.5000
4 Te 0.5000 0.5000 0.0000

---

Copy entry 3 word for word.
## NaLi2PO4 (PBE)

Data for NaLi2PO4 after structural relaxation.

Energy relative to the elements, uncorrected   -2336 meV per atom
Fermi-level density of states   0.00 states/eV per cell
VASP energy   -6.135 eV/atom
Volume   11.0 Å³/atom

Cell: 10.2105 6.8933 5.0114 Å, 90.00 90.00 90.00°
Atoms (fractional coordinates):
1 Na 0.1034 0.2500 0.2442
2 Na 0.3966 0.7500 0.7442
3 Na 0.6034 0.2500 0.2558
4 Na 0.8966 0.7500 0.7558
5 Li 0.1579 0.0002 0.7112
6 Li 0.1579 0.4998 0.7112
7 Li 0.3421 0.9998 0.2112
8 Li 0.3421 0.5002 0.2112
9 Li 0.6579 0.0002 0.7888
10 Li 0.6579 0.4998 0.7888
11 Li 0.8421 0.9998 0.2888
12 Li 0.8421 0.5002 0.2888
13 P 0.0974 0.7500 0.2040
14 P 0.4026 0.2500 0.7040
15 P 0.5974 0.7500 0.2960
16 P 0.9026 0.2500 0.7960
17 O 0.0538 0.2500 0.7430
18 O 0.1199 0.7500 0.8951
19 O 0.1607 0.5651 0.3263
20 O 0.1607 0.9349 0.3263
21 O 0.3393 0.0651 0.8263
22 O 0.3393 0.4349 0.8263
23 O 0.3801 0.2500 0.3951
24 O 0.4462 0.7500 0.2430
25 O 0.5538 0.2500 0.7570
26 O 0.6199 0.7500 0.6049
27 O 0.6607 0.5651 0.1737
28 O 0.6607 0.9349 0.1737
29 O 0.8393 0.0651 0.6737
30 O 0.8393 0.4349 0.6737
31 O 0.8801 0.2500 0.1049
32 O 0.9462 0.7500 0.2570